! HfNbFeSn (PBE-GGA, relaxed); values from VASP
&SYSTEM
  ibrav = 0, nat = 4, ntyp = 4
/
ATOMIC_SPECIES
Hf 178.49 Hf.upf
Nb 92.91 Nb.upf
Fe 55.84 Fe.upf
Sn 118.71 Sn.upf
CELL_PARAMETERS angstrom
0.000 3.271 3.271
3.271 0.000 3.271
3.271 3.271 0.000
ATOMIC_POSITIONS crystal
Hf 0.000 0.000 0.000
Nb 0.250 0.250 0.250
Fe 0.750 0.750 0.750
Sn 0.500 0.500 0.500
! Energy   -32.0 eV/cell
! V   17.50 Å³ per atom
! SG   F-43m, No. 216